Record 1
Entry from the Alexandria database: a geometry-optimized KLiBi structure (PBE).

abc: 6.3344 6.3344 6.3344
angles: 95.24 113.81 120.33
Closest atoms and distances in Å follow each position.
Atoms (fractional coordinates):
K1 0.2500 0.1282 0.3782  6 Li 3.59-3.94, 6 Bi 3.62-3.76, 2 K 3.78
K2 0.7500 0.8718 0.6218  6 Li 3.59-3.94, 6 Bi 3.62-3.76, 2 K 3.78
Li1 0.5000 0.0000 0.0000  2 Li 3.15, 4 Bi 3.17
Li2 0.0000 0.5000 0.0000  2 Li 3.15, 4 Bi 3.17
Bi1 0.0000 0.5000 0.5000  4 Li 3.17, 2 Bi 3.46
Bi2 0.5000 0.5000 0.0000  4 Li 3.17, 2 Bi 3.46

Output
The energy relative to the elements comes out at -361.1 meV per atom. The calculation puts the mass density at 4.5 g/cm³. Its density of states at the Fermi level is 2.006 states/eV per cell. Its energy relative to the lowest polymorph listed for this composition is 0.0 meV per atom.

***

Record 2
Entry from the Alexandria database: a geometry-optimized K3LiBi4 structure (PBE).

abc: 6.9119 7.0083 12.7506
angles: 90.00 90.00 90.00
Closest atoms and distances in Å follow each position.
Atoms (fractional coordinates):
K1 0.5113 0.0000 0.0000  2 Li 3.68, 8 Bi 3.77-4.07, 2 K 3.97
K2 0.4887 0.5000 0.5000  2 Li 3.68, 8 Bi 3.77-4.07, 2 K 3.97
K3 0.8295 0.5000 0.7509  1 Li 3.35
K4 0.8295 0.5000 0.2491  1 Li 3.35
K5 0.1705 0.0000 0.7491  1 Li 3.35
K6 0.1705 0.0000 0.2509  1 Li 3.35
Bi1 0.3243 0.5000 0.8733  1 Li 2.90, 1 Bi 3.23
Bi2 0.3243 0.5000 0.1267  1 Li 2.90, 1 Bi 3.23
Bi3 0.0047 0.2289 0.0000  1 Li 2.98, 3 Bi 3.21-3.33
Bi4 0.0047 0.7711 0.0000  1 Li 2.98, 3 Bi 3.21-3.33
Bi5 0.9953 0.7289 0.5000  1 Li 2.98, 3 Bi 3.21-3.33
Bi6 0.9953 0.2711 0.5000  1 Li 2.98, 3 Bi 3.21-3.33
Bi7 0.6757 0.0000 0.3733  1 Li 2.90, 1 Bi 3.23
Bi8 0.6757 0.0000 0.6267  1 Li 2.90, 1 Bi 3.23
Li1 0.6733 0.5000 0.0000  4 Bi 2.90-2.98
Li2 0.3267 0.0000 0.5000  4 Bi 2.90-2.98

Output
The energy relative to the elements comes out at -224.1 meV per atom. The calculation puts the mass density at 5.2 g/cm³. Its density of states at the Fermi level is 9.461 states/eV per cell.

***

Record 3
Entry from the Alexandria database: a geometry-optimized K2LiBi structure (PBE).

abc: 6.4265 6.9695 6.9695
angles: 101.56 90.00 90.00
Closest atoms and distances in Å follow each position.
Atoms (fractional coordinates):
K1 0.7500 0.9667 0.3076  3 K 3.68-4.02, 4 Bi 3.71-3.83, 4 Li 4.02-4.09
K2 0.2500 0.0333 0.6924  3 K 3.68-4.02, 4 Bi 3.71-3.83, 4 Li 4.02-4.09
K3 0.2500 0.6924 0.0333  3 K 3.68-4.02, 4 Bi 3.71-3.83, 4 Li 4.02-4.09
K4 0.7500 0.3076 0.9667  3 K 3.68-4.02, 4 Bi 3.71-3.83, 4 Li 4.02-4.09
Li1 0.5000 0.5000 0.5000  2 Bi 2.77
Li2 0.0000 0.5000 0.5000  2 Bi 2.77
Bi1 0.2500 0.2435 0.2435  2 Li 2.77
Bi2 0.7500 0.7565 0.7565  2 Li 2.77

Output
The energy relative to the elements comes out at -420.2 meV per atom. The calculation puts the mass density at 3.2 g/cm³. Its density of states at the Fermi level is 0.248 states/eV per cell.

***

Record 4
Entry from the Alexandria database: a geometry-optimized K5LiBi2 structure (PBE).

abc: 6.1997 6.1997 21.0375
angles: 90.00 90.00 120.00
Closest atoms and distances in Å follow each position.
Atoms (fractional coordinates):
K1 0.0000 0.0000 0.3630  3 Bi 3.59, 3 K 4.01
K2 0.0000 0.0000 0.1370  3 Bi 3.59, 3 K 4.01
K3 0.6667 0.3333 0.2500  3 Li 3.58
K4 0.0000 0.0000 0.8630  3 Bi 3.59, 3 K 4.01
K5 0.6667 0.3333 0.0512  4 Bi 3.65-3.88, 3 K 4.01
K6 0.3333 0.6667 0.7500  3 Li 3.58
K7 0.3333 0.6667 0.9488  4 Bi 3.65-3.88, 3 K 4.01
K8 0.3333 0.6667 0.5512  4 Bi 3.65-3.88, 3 K 4.01
K9 0.6667 0.3333 0.4488  4 Bi 3.65-3.88, 3 K 4.01
K10 0.0000 0.0000 0.6370  3 Bi 3.59, 3 K 4.01
Li1 0.3333 0.6667 0.2500  2 Bi 2.69
Li2 0.6667 0.3333 0.7500  2 Bi 2.69
Bi1 0.6667 0.3333 0.6221  1 Li 2.69
Bi2 0.3333 0.6667 0.1221  1 Li 2.69
Bi3 0.3333 0.6667 0.3779  1 Li 2.69
Bi4 0.6667 0.3333 0.8779  1 Li 2.69

Output
The energy relative to the elements comes out at -385.7 meV per atom. The calculation puts the mass density at 2.9 g/cm³. Its density of states at the Fermi level is 12.888 states/eV per cell.

***

Record 5
Entry from the Alexandria database: a geometry-optimized KLi2Bi structure (PBE).

abc: 5.7180 5.7180 9.9254
angles: 73.26 73.26 90.00
Closest atoms and distances in Å follow each position.
Atoms (fractional coordinates):
K1 0.5000 0.5000 0.0000  8 Li 3.90-3.93, 4 Bi 4.04
K2 0.2500 0.7500 0.5000  8 Li 3.90-3.93, 4 Bi 4.04
Bi1 0.0000 0.0000 0.0000  4 Li 2.68
Bi2 0.7500 0.2500 0.5000  4 Li 2.68
Li1 0.8715 0.1250 0.2500  2 Bi 2.68, 2 Li 2.86
Li2 0.8785 0.6250 0.2500  2 Bi 2.68, 2 Li 2.86
Li3 0.3750 0.1285 0.7500  2 Bi 2.68, 2 Li 2.86
Li4 0.8750 0.1215 0.7500  2 Bi 2.68, 2 Li 2.86

Output
The energy relative to the elements comes out at -272.1 meV per atom. The calculation puts the mass density at 2.9 g/cm³. Its density of states at the Fermi level is 0.001 states/eV per cell.

***

Record 6
Entry from the Alexandria database: a geometry-optimized K2LiBi structure (PBE).

abc: 5.0051 5.0051 12.5818
angles: 78.53 78.53 90.00
Closest atoms and distances in Å follow each position.
Atoms (fractional coordinates):
K1 0.6240 0.1250 0.2500  2 Li 3.50, 2 Bi 3.50, 4 K 3.53-3.55
K2 0.1260 0.6250 0.2500  2 Li 3.50, 2 Bi 3.50, 4 K 3.53-3.55
K3 0.3750 0.3760 0.7500  2 Li 3.50, 2 Bi 3.50, 4 K 3.53-3.55
K4 0.8750 0.8740 0.7500  2 Li 3.50, 2 Bi 3.50, 4 K 3.53-3.55
Bi1 0.0000 0.0000 0.0000  4 K 3.50, 4 Li 3.54
Bi2 0.7500 0.2500 0.5000  4 K 3.50, 4 Li 3.54
Li1 0.5000 0.5000 0.0000  4 K 3.50, 4 Bi 3.54
Li2 0.2500 0.7500 0.5000  4 K 3.50, 4 Bi 3.54

Output
The energy relative to the elements comes out at -17.8 meV per atom. The calculation puts the mass density at 3.2 g/cm³. Its density of states at the Fermi level is 1.611 states/eV per cell.

***

Record 7
Entry from the Alexandria database: a geometry-optimized K2Li3Bi2 structure (PBE).

abc: 4.8912 7.0243 7.9130
angles: 114.28 90.00 110.37
Closest atoms and distances in Å follow each position.
Atoms (fractional coordinates):
K1 0.8526 0.7053 0.2316  3 Li 3.39-3.78, 2 Bi 3.62-3.76
K2 0.1474 0.2947 0.7684  3 Li 3.39-3.78, 2 Bi 3.62-3.76
Li1 0.5000 0.0000 0.0000  2 Li 3.06, 4 Bi 3.06
Li2 0.6648 0.3296 0.4177  3 Bi 2.80-2.94, 1 Li 3.06
Li3 0.3352 0.6704 0.5823  3 Bi 2.80-2.94, 1 Li 3.06
Bi1 0.8734 0.7469 0.7726  5 Li 2.80-3.06
Bi2 0.1266 0.2531 0.2274  5 Li 2.80-3.06

Output
The energy relative to the elements comes out at -395.1 meV per atom. The calculation puts the mass density at 3.7 g/cm³. Its density of states at the Fermi level is 1.730 states/eV per cell.

***

Record 8
Entry from the Alexandria database: a geometry-optimized KLi4Bi5 structure (PBE).

abc: 3.5965 3.5965 20.1297
angles: 90.00 90.00 90.00
Closest atoms and distances in Å follow each position.
Atoms (fractional coordinates):
K1 0.0000 0.0000 0.0000  4 K 3.60, 8 Bi 3.77
Li1 0.0000 0.0000 0.2261  8 Bi 3.10-3.20
Li2 0.0000 0.0000 0.4110  8 Bi 3.10-3.11
Li3 0.0000 0.0000 0.5890  8 Bi 3.10-3.11
Li4 0.0000 0.0000 0.7739  8 Bi 3.10-3.20
Bi1 0.5000 0.5000 0.1384  4 Li 3.10
Bi2 0.5000 0.5000 0.3226  8 Li 3.10-3.20
Bi3 0.5000 0.5000 0.5000  8 Li 3.11
Bi4 0.5000 0.5000 0.6774  8 Li 3.10-3.20
Bi5 0.5000 0.5000 0.8616  4 Li 3.10

Output
The energy relative to the elements comes out at -345.8 meV per atom. The calculation puts the mass density at 7.1 g/cm³. Its density of states at the Fermi level is 4.205 states/eV per cell.